VASP calculation (PBE-GGA) on a geometry-optimized Ba2HgBi2H2 structure.

Values from the calculation:
Crystal system   monoclinic
Density of states at the Fermi level   0.29 states/eV per cell
Electronic total energy   -2.951 eV per atom

a b c (Å): 7.2410 7.2847 10.0203
angles (deg): 90.00 96.02 90.00
Last column: nearest neighbours and their distance in Å.
Space group C2/m (No. 12)
Unique sites:
Ba (0.1980, 0.0000, 0.1834)  1 H 2.83
Hg (0.0000, 0.5000, 0.5000)  2 H 3.42, 2 Ba 3.66, 2 Bi 3.81
Bi (0.1968, 0.5000, 0.1624)  1 H 1.86
H (0.1307, 0.0000, 0.6868)  1 Bi 1.86